(i)
Computed, not measured: Sm2YGa2 after structural relaxation at the PBE-GGA level of DFT.

Unit cell a=12.5321 b=3.6404 c=6.0518 alpha=90.00 beta=102.08 gamma=90.00
Space group C2/m (No. 12)
Symmetry-distinct sites (fractional):
1 Sm 0.1355 0.0000 0.0708 (multiplicity 4)
2 Y 0.0000 0.5000 0.5000 (multiplicity 2)
3 Ga 0.2005 0.0000 0.6088 (multiplicity 4)

Results
Volume: 27.0 A^3/atom


(ii)
Computed, not measured: Sm2YGa2 after structural relaxation at the PBE-GGA level of DFT.

Unit cell a=7.7273 b=7.7273 c=4.4562 alpha=90.00 beta=90.00 gamma=90.00
Space group P4/mbm (No. 127)
Symmetry-distinct sites (fractional):
1 Sm 0.1741 0.3259 0.0000 (multiplicity 4)
2 Y 0.0000 0.0000 0.5000 (multiplicity 2)
3 Ga 0.1194 0.6194 0.5000 (multiplicity 4)

Results
Volume: 26.6 A^3/atom


Of them, (i) has the lowest stability.


(i)
Computed, not measured: Sm2Zn3Ga2 after structural relaxation at the PBE-GGA level of DFT.

Unit cell a=10.6007 b=4.3936 c=6.5722 alpha=90.00 beta=111.97 gamma=90.00
Space group C2/m (No. 12)
Symmetry-distinct sites (fractional):
1 Sm 0.1523 0.0000 0.2657 (multiplicity 4)
2 Zn 0.0000 0.5000 0.5000 (multiplicity 2)
3 Zn 0.0913 0.5000 0.9188 (multiplicity 4)
4 Ga 0.1504 0.0000 0.7547 (multiplicity 4)

Results
Volume: 20.3 A^3/atom


(ii)
Computed, not measured: Sm2Zn3Ga2 after structural relaxation at the PBE-GGA level of DFT.

Unit cell a=4.1747 b=20.7396 c=3.4631 alpha=90.00 beta=90.00 gamma=90.00
Space group Cmmm (No. 65)
Symmetry-distinct sites (fractional):
1 Sm 0.0000 0.1521 0.0000 (multiplicity 4)
2 Zn 0.0000 0.0000 0.0000 (multiplicity 2)
3 Zn 0.0000 0.4372 0.5000 (multiplicity 4)
4 Ga 0.0000 0.2843 0.5000 (multiplicity 4)

Results
Volume: 21.4 A^3/atom


Of them, (ii) has the lowest stability.


(i)
Computed, not measured: Sm6ZnGa2 after structural relaxation at the PBE-GGA level of DFT.

Unit cell a=5.0425 b=7.1441 c=15.1229 alpha=90.00 beta=90.00 gamma=90.00
Space group Immm (No. 71)
Symmetry-distinct sites (fractional):
1 Sm 0.0000 0.2489 0.0000 (multiplicity 4)
2 Sm 0.0000 0.2507 0.3338 (multiplicity 8)
3 Zn 0.0000 0.5000 0.5000 (multiplicity 2)
4 Ga 0.0000 0.5000 0.1670 (multiplicity 4)

Results
Volume: 30.3 A^3/atom


(ii)
Computed, not measured: Sm6ZnGa2 after structural relaxation at the PBE-GGA level of DFT.

Unit cell a=9.8589 b=9.9121 c=10.4776 alpha=90.00 beta=90.00 gamma=90.00
Space group Immm (No. 71)
Symmetry-distinct sites (fractional):
1 Sm 0.0000 0.2084 0.1743 (multiplicity 8)
2 Sm 0.1749 0.2324 0.5000 (multiplicity 8)
3 Sm 0.1963 0.5000 0.2516 (multiplicity 8)
4 Zn 0.0000 0.5000 0.0000 (multiplicity 2)
5 Zn 0.0000 0.5000 0.5000 (multiplicity 2)
6 Ga 0.0000 0.0000 0.3779 (multiplicity 4)
7 Ga 0.1460 0.0000 0.0000 (multiplicity 4)

Results
Volume: 28.4 A^3/atom


Of them, (i) has the lowest stability.


(i)
Computed, not measured: Sm2Zn5Ga3 after structural relaxation at the PBE-GGA level of DFT.

Unit cell a=4.2302 b=4.2302 c=10.5825 alpha=90.00 beta=90.00 gamma=90.00
Space group P-4m2 (No. 115)
Symmetry-distinct sites (fractional):
1 Sm 0.0000 0.5000 0.2491 (multiplicity 2)
2 Zn 0.0000 0.0000 0.0000 (multiplicity 1)
3 Zn 0.0000 0.0000 0.5000 (multiplicity 1)
4 Zn 0.0000 0.5000 0.8720 (multiplicity 2)
5 Zn 0.5000 0.5000 0.0000 (multiplicity 1)
6 Ga 0.0000 0.5000 0.6426 (multiplicity 2)
7 Ga 0.5000 0.5000 0.5000 (multiplicity 1)

Results
Volume: 18.9 A^3/atom


(ii)
Computed, not measured: Sm2Zn5Ga3 after structural relaxation at the PBE-GGA level of DFT.

Unit cell a=10.6314 b=11.8784 c=5.9617 alpha=90.00 beta=90.00 gamma=90.00
Space group Ibam (No. 72)
Symmetry-distinct sites (fractional):
1 Sm 0.2470 0.1243 0.0000 (multiplicity 8)
2 Zn 0.0000 0.2543 0.2500 (multiplicity 8)
3 Zn 0.0000 0.5000 0.2500 (multiplicity 4)
4 Zn 0.1316 0.1279 0.5000 (multiplicity 8)
5 Ga 0.0000 0.0000 0.2500 (multiplicity 4)
6 Ga 0.1398 0.3750 0.0000 (multiplicity 8)

Results
Volume: 18.8 A^3/atom


Of them, (i) has the lowest stability.